1.
The following is a DFT calculation (PBE) of Tc2TePb after structural relaxation.

Properties
The calculation puts the calculated density at 12.0 g cm⁻³. For the spin magnetization, the calculation gives 0.00 μB per formula unit. The calculation puts the energy above the most stable polymorph in this dataset at 193 meV/atom. As for the calculated volume: 18.32 Å³ per atom. As for the symmetry: P4/mmm, No. 123.

Unit cell a=3.2936 b=3.2936 c=6.7547 alpha=90.00 beta=90.00 gamma=90.00
Fractional positions:
Tc (0.0000, 0.0000, 0.2316)
Tc (0.0000, 0.0000, 0.7684)
Te (0.5000, 0.5000, 0.0000)
Pb (0.5000, 0.5000, 0.5000)

=====

2.
The following is a DFT calculation (PBE) of Tc2TePb after structural relaxation.

Properties
The calculation puts the calculated density at 11.1 g cm⁻³. For the spin magnetization, the calculation gives 0.00 μB per formula unit. The calculation puts the energy above the most stable polymorph in this dataset at 557 meV/atom. As for the calculated volume: 19.89 Å³ per atom. As for the symmetry: Cmmm, No. 65.

Unit cell a=3.2268 b=3.2268 c=8.6700 alpha=90.00 beta=90.00 gamma=118.21
Fractional positions:
Tc (0.0000, 0.0000, 0.2358)
Tc (0.0000, 0.0000, 0.7642)
Te (0.5000, 0.5000, 0.0000)
Pb (0.5000, 0.5000, 0.5000)

=====

3.
The following is a DFT calculation (PBE) of Tc2TePb after structural relaxation.

Properties
The calculation puts the calculated density at 8.0 g cm⁻³. For the spin magnetization, the calculation gives 0.00 μB per formula unit. The calculation puts the energy above the most stable polymorph in this dataset at 865 meV/atom. As for the calculated volume: 27.67 Å³ per atom. As for the symmetry: I-42d, No. 122.

Unit cell a=7.2806 b=7.2806 c=7.2806 alpha=129.95 beta=129.95 gamma=73.49
Fractional positions:
Tc (0.1056, 0.6250, 0.9806)
Tc (0.3750, 0.3556, 0.4806)
Tc (0.6444, 0.1250, 0.0194)
Tc (0.8750, 0.8944, 0.5194)
Te (0.0000, 0.0000, 0.0000)
Te (0.7500, 0.2500, 0.5000)
Pb (0.2500, 0.7500, 0.5000)
Pb (0.5000, 0.5000, 0.0000)

=====

4.
The following is a DFT calculation (PBE) of TcTe2Pb after structural relaxation.

Properties
The calculation puts the calculated density at 9.3 g cm⁻³. The calculation puts the final energy at -4.296 eV per atom. For the spin magnetization, the calculation gives 2.31 μB per formula unit. As for the calculated volume: 24.95 Å³ per atom. As for the symmetry: F-43m, No. 216.

Unit cell a=5.2068 b=5.2068 c=5.2068 alpha=60.00 beta=60.00 gamma=60.00
Fractional positions:
Tc (0.0000, 0.0000, 0.0000)
Te (0.2500, 0.2500, 0.2500)
Te (0.5000, 0.5000, 0.5000)
Pb (0.7500, 0.7500, 0.7500)